1.
This record from Alexandria via LeMat-Bulk describes a geometry-optimized AlVO3 structure. The functional is PBE with a Hubbard U.

## Properties
Space-group type   Cm, No. 8
ρ   3.88 g cm⁻³
Size of the total moment   2.00 μB per formula unit
E   -7.6677 eV per atom

a = 5.8389 Å, b = 5.8791 Å, c = 13.2105 Å
α = 102.86°, β = 102.69°, γ = 90.00°
Each line ends with the local moment (μB).
Fractional coordinates of all 40 atoms:
V (0.6230, 0.8779, 0.7557)  1.92
V (0.4595, 0.7094, 0.9183)  1.90
V (0.7935, 0.5340, 0.5812)  1.91
V (0.1295, 0.3693, 0.2508)  1.91
V (0.1295, 0.8815, 0.2508)  1.91
V (0.7935, 0.0472, 0.5812)  1.91
V (0.4595, 0.2088, 0.9183)  1.90
V (0.9582, 0.2074, 0.4149)  1.90
O (0.0464, 0.7969, 0.5937)  -0.01
O (0.3696, 0.0965, 0.7646)  -0.01
O (0.6979, 0.4542, 0.4099)  0.00
O (0.3600, 0.1360, 0.2720)  -0.03
O (0.9081, 0.1298, 0.2597)  -0.03
O (0.8753, 0.6191, 0.2383)  -0.01
O (0.5384, 0.7432, 0.0713)  -0.01
O (0.2205, 0.4590, 0.4211)  0.00
O (0.1992, 0.9581, 0.9163)  0.00
O (0.2205, 0.9621, 0.4211)  0.00
O (0.5384, 0.3281, 0.0713)  -0.01
O (0.7134, 0.9605, 0.9210)  -0.01
O (0.7211, 0.4595, 0.9190)  0.00
O (0.0447, 0.3126, 0.0833)  0.00
O (0.6979, 0.9557, 0.4099)  0.00
O (0.5615, 0.2802, 0.5603)  -0.02
O (0.8909, 0.1142, 0.7497)  0.00
O (0.3696, 0.6681, 0.7646)  -0.01
O (0.8909, 0.6355, 0.7497)  0.00
O (0.5528, 0.7948, 0.5895)  -0.02
O (0.3660, 0.6185, 0.2371)  -0.01
O (0.2084, 0.4611, 0.9222)  0.00
O (0.0130, 0.2850, 0.5699)  -0.03
O (0.0447, 0.7707, 0.0833)  0.00
Al (0.6610, 0.6613, 0.3227)  0.01
Al (0.1335, 0.8777, 0.7553)  0.01
Al (0.9243, 0.4150, 0.8301)  0.01
Al (0.7829, 0.5395, 0.0789)  0.01
Al (0.4594, 0.2082, 0.4163)  0.01
Al (0.3017, 0.5396, 0.0793)  0.00
Al (0.0061, 0.0037, 0.0075)  0.01
Al (0.2562, 0.7538, 0.5076)  0.01

***

2.
This record from Alexandria via LeMat-Bulk describes a geometry-optimized Al3VO structure. The functional is PBE with a Hubbard U.

## Properties
Space-group type   Pm-3m, No. 221
ρ   3.71 g cm⁻³
DOS(E_F)   0.61 states/eV/f.u.
Size of the total moment   0.00 μB per formula unit
E   -4.9679 eV per atom

a = 4.0464 Å, b = 4.0464 Å, c = 4.0464 Å
α = 90.00°, β = 90.00°, γ = 90.00°
Fractional coordinates of all 5 atoms:
O (0.0000, 0.0000, 0.0000)
Al (0.0000, 0.5000, 0.0000)
Al (0.5000, 0.0000, 0.0000)
Al (0.0000, 0.0000, 0.5000)
V (0.5000, 0.5000, 0.5000)

***

3.
This record from Alexandria via LeMat-Bulk describes a geometry-optimized AlV2O structure. The functional is PBE with a Hubbard U.

## Properties
Space-group type   I-42d, No. 122
ρ   3.70 g cm⁻³
DOS(E_F)   2.14 states/eV/f.u.
Size of the total moment   5.93 μB per formula unit
E   -6.0551 eV per atom

a = 6.3165 Å, b = 6.3165 Å, c = 5.5298 Å
α = 55.17°, β = 55.17°, γ = 90.00°
Each line ends with the local moment (μB).
Fractional coordinates of all 8 atoms:
V (0.2305, 0.6250, 0.2500)  2.58
V (0.3750, 0.4805, 0.7500)  2.58
V (0.8750, 0.7695, 0.7500)  2.58
V (0.5195, 0.1250, 0.2500)  2.58
O (0.5000, 0.5000, 0.0000)  -0.05
O (0.2500, 0.7500, 0.5000)  -0.05
Al (0.7500, 0.2500, 0.5000)  -0.03
Al (0.0000, 0.0000, 0.0000)  -0.03